[1]
{"formula": "PaSiNi2C", "functional": "GGA-PBE", "state": "optimized geometry", "e_form_raw_ev_per_atom": -0.55, "lattice": [[3.544, 0.000, 0.000], [-1.772, 5.566, 0.000], [0.000, 0.000, 6.812]], "species": ["C", "C", "Ni", "Ni", "Ni", "Ni", "Si", "Si", "Pa", "Pa"], "frac_coords": [[0.000, 0.000, 0.000], [0.000, 0.000, 0.500], [0.828, 0.656, 0.444], [0.828, 0.656, 0.056], [0.172, 0.344, 0.944], [0.172, 0.344, 0.556], [0.267, 0.534, 0.250], [0.733, 0.466, 0.750], [0.461, 0.922, 0.750], [0.539, 0.078, 0.250]]}

---

[2]
{"formula": "PaSiNiC", "functional": "GGA-PBE", "state": "optimized geometry", "e_form_raw_ev_per_atom": -0.64, "lattice": [[3.706, 0.000, 0.000], [0.000, 3.706, 0.000], [0.000, 0.000, 8.323]], "species": ["Si", "Si", "Pa", "Pa", "Ni", "Ni", "C", "C"], "frac_coords": [[0.000, 0.500, 0.345], [0.500, 0.000, 0.655], [0.000, 0.500, 0.840], [0.500, 0.000, 0.160], [0.000, 0.000, 0.500], [0.500, 0.500, 0.500], [0.000, 0.500, 0.121], [0.500, 0.000, 0.879]]}

---

[3]
{"formula": "Pa2NiSnC", "functional": "GGA-PBE", "state": "optimized geometry", "delta_e_f_ev_per_fu": -1.7, "lattice": [[-0.536, 3.830, -0.737], [0.054, -1.226, -6.409], [-7.636, -0.506, 2.919]], "species": ["Pa", "Pa", "Pa", "Pa", "Ni", "Ni", "Sn", "Sn", "C", "C"], "frac_coords": [[0.250, 0.243, 0.367], [0.250, 0.224, 0.978], [0.750, 0.776, 0.022], [0.750, 0.757, 0.633], [0.250, 0.536, 0.756], [0.750, 0.464, 0.244], [0.750, 0.265, 0.681], [0.250, 0.735, 0.319], [0.750, 0.150, 0.157], [0.250, 0.850, 0.843]]}

---

[4]
{"formula": "PaTcNiC", "functional": "GGA-PBE", "state": "optimized geometry", "delta_e_f_ev_per_fu": 0.5, "lattice": [[-2.698, 1.553, -2.846], [-0.718, -3.450, -1.202], [-3.091, -0.317, 2.757]], "species": ["Ni", "Tc", "C", "Pa"], "frac_coords": [[0.000, 0.500, 0.000], [0.000, 0.000, 0.500], [0.000, 0.000, 0.000], [0.500, 0.500, 0.500]]}

---

[5]
{"formula": "Ni2PbC", "functional": "GGA-PBE", "state": "optimized geometry", "de_polymorph_ev_per_atom": 0.9051, "delta_e_f_ev_per_fu": 5.5, "lattice": [[3.823, 0.020, 1.842], [0.894, -2.797, 3.063], [2.731, -3.161, -0.745]], "species": ["Ni", "Ni", "C", "Pb"], "frac_coords": [[0.250, 0.250, 0.250], [0.750, 0.750, 0.750], [0.000, 0.000, 0.000], [0.500, 0.500, 0.500]]}

---

[6]
{"formula": "NiPbC2", "functional": "GGA-PBE", "state": "optimized geometry", "delta_e_f_ev_per_fu": 5.4, "lattice": [[-4.589, -1.476, 1.281], [-0.259, -2.781, -4.133], [-0.602, -5.767, 0.908]], "species": ["C", "C", "C", "C", "Ni", "Ni", "Pb", "Pb"], "frac_coords": [[0.375, 0.472, 0.750], [0.528, 0.125, 0.250], [0.222, 0.625, 0.250], [0.875, 0.778, 0.750], [0.500, 0.500, 0.000], [0.250, 0.750, 0.500], [0.000, 0.000, 0.000], [0.750, 0.250, 0.500]]}

---

[7]
{"formula": "Ni2PbC", "functional": "GGA-PBE", "state": "optimized geometry", "de_polymorph_ev_per_atom": 0.0000, "delta_e_f_ev_per_fu": 1.9, "lattice": [[-2.898, 3.430, -1.467], [0.199, -1.713, -4.398], [-5.828, -2.459, -1.844]], "species": ["Ni", "Ni", "Ni", "Ni", "Pb", "Pb", "C", "C"], "frac_coords": [[0.415, 0.125, 0.250], [0.375, 0.585, 0.750], [0.335, 0.625, 0.250], [0.875, 0.665, 0.750], [0.000, 0.000, 0.000], [0.750, 0.250, 0.500], [0.250, 0.750, 0.500], [0.500, 0.500, 0.000]]}

---

[8]
{"formula": "NiPb2C", "functional": "GGA-PBE", "state": "optimized geometry", "delta_e_f_ev_per_fu": 4.3, "lattice": [[-0.928, 2.625, -5.432], [0.173, -5.482, -2.679], [-4.959, -1.855, -3.479]], "species": ["Ni", "Ni", "C", "C", "Pb", "Pb", "Pb", "Pb"], "frac_coords": [[0.750, 0.250, 0.500], [0.000, 0.000, 0.000], [0.250, 0.750, 0.500], [0.500, 0.500, 0.000], [0.875, 0.837, 0.750], [0.163, 0.625, 0.250], [0.587, 0.125, 0.250], [0.375, 0.413, 0.750]]}

---

[9]
{"formula": "NiRh2PbC", "functional": "GGA-PBE", "state": "optimized geometry", "delta_e_f_ev_per_fu": 1.0, "lattice": [[-4.207, 0.162, -0.138], [-0.143, -4.172, -0.558], [-0.148, -0.517, 3.898]], "species": ["Ni", "C", "Pb", "Rh", "Rh"], "frac_coords": [[0.000, 0.000, 0.500], [0.000, 0.000, 0.000], [0.500, 0.500, 0.500], [0.500, 0.000, 0.000], [0.000, 0.500, 0.000]]}

---

[10]
{"formula": "Sc2NiPbC", "functional": "GGA-PBE", "state": "optimized geometry", "delta_e_f_ev_per_fu": -1.8, "lattice": [[-0.616, -2.785, -3.601], [-2.448, -2.861, 2.632], [-3.306, 1.957, -0.948]], "species": ["C", "Ni", "Pb", "Sc", "Sc"], "frac_coords": [[0.000, 0.000, 0.000], [0.000, 0.000, 0.500], [0.500, 0.500, 0.500], [0.000, 0.500, 0.000], [0.500, 0.000, 0.000]]}

---

[11]
{"formula": "NiSnPb2C", "functional": "GGA-PBE", "state": "optimized geometry", "delta_e_f_ev_per_fu": 5.7, "lattice": [[-4.612, 1.383, 1.689], [-1.538, -4.042, -0.892], [1.267, -1.520, 4.704]], "species": ["Pb", "Pb", "Ni", "C", "Sn"], "frac_coords": [[0.000, 0.000, 0.500], [0.500, 0.000, 0.000], [0.500, 0.500, 0.500], [0.000, 0.000, 0.000], [0.000, 0.500, 0.000]]}

---

[12]
{"formula": "Ni2TePbC", "functional": "GGA-PBE", "state": "optimized geometry", "de_polymorph_ev_per_atom": 0.0000, "e_form_raw_ev_per_atom": 1.32, "lattice": [[4.728, 0.000, 0.000], [0.000, 4.398, 0.000], [0.000, 0.000, 4.728]], "species": ["Ni", "Ni", "Pb", "C", "Te"], "frac_coords": [[0.500, 0.000, 0.000], [0.000, 0.000, 0.500], [0.500, 0.500, 0.500], [0.000, 0.500, 0.000], [0.000, 0.000, 0.000]]}

---

[13]
{"formula": "Ni2TePbC", "functional": "GGA-PBE", "state": "optimized geometry", "de_polymorph_ev_per_atom": 1.1128, "e_form_raw_ev_per_atom": 2.43, "lattice": [[4.746, 0.000, 0.000], [0.000, 5.929, 0.000], [0.000, 0.000, 4.746]], "species": ["C", "Ni", "Ni", "Te", "Pb"], "frac_coords": [[0.500, 0.500, 0.500], [0.000, 0.000, 0.500], [0.500, 0.000, 0.000], [0.000, 0.500, 0.000], [0.000, 0.000, 0.000]]}

---

[14]
{"formula": "VNi2PbC", "functional": "GGA-PBE", "state": "optimized geometry", "delta_e_f_ev_per_fu": 0.5, "lattice": [[-1.397, -0.412, -3.629], [0.074, -3.992, 0.425], [-3.651, 0.081, 1.396]], "species": ["Ni", "Ni", "C", "V", "Pb"], "frac_coords": [[0.000, 0.000, 0.500], [0.500, 0.000, 0.000], [0.000, 0.000, 0.000], [0.000, 0.500, 0.000], [0.500, 0.500, 0.500]]}

---

[15]
{"formula": "Y2NiPbC", "functional": "GGA-PBE", "state": "optimized geometry", "delta_e_f_ev_per_fu": -1.7, "lattice": [[-2.448, 3.259, -3.078], [1.681, -2.584, -4.073], [-3.108, -2.217, 0.124]], "species": ["Ni", "Y", "Y", "C", "Pb"], "frac_coords": [[0.000, 0.000, 0.500], [0.000, 0.500, 0.000], [0.500, 0.000, 0.000], [0.000, 0.000, 0.000], [0.500, 0.500, 0.500]]}

---

[16]
{"formula": "Ni2PdC", "functional": "GGA-PBE", "state": "optimized geometry", "delta_e_f_ev_per_fu": 1.2, "lattice": [[-0.306, 3.021, 5.361], [-5.942, -1.541, 0.529], [-2.512, -1.227, 4.088]], "species": ["Ni", "Ni", "Ni", "Ni", "Pd", "Pd", "C", "C"], "frac_coords": [[0.375, 0.479, 0.750], [0.229, 0.625, 0.250], [0.875, 0.771, 0.750], [0.521, 0.125, 0.250], [0.750, 0.250, 0.500], [0.000, 0.000, 0.000], [0.250, 0.750, 0.500], [0.500, 0.500, 0.000]]}

---

[17]
{"formula": "NiPdC2", "functional": "GGA-PBE", "state": "optimized geometry", "de_polymorph_ev_per_atom": 0.0000, "delta_e_f_ev_per_fu": 4.3, "lattice": [[4.456, 0.000, 0.000], [0.000, 4.456, 0.000], [2.228, 2.228, 4.672]], "species": ["Pd", "Pd", "Ni", "Ni", "C", "C", "C", "C"], "frac_coords": [[0.750, 0.250, 0.500], [0.000, 0.000, 0.000], [0.500, 0.500, 0.000], [0.250, 0.750, 0.500], [0.875, 0.843, 0.750], [0.593, 0.125, 0.250], [0.375, 0.407, 0.750], [0.157, 0.625, 0.250]]}

---

[18]
{"formula": "NiPdC2", "functional": "GGA-PBE", "state": "optimized geometry", "de_polymorph_ev_per_atom": 0.6216, "delta_e_f_ev_per_fu": 6.8, "lattice": [[-0.591, -3.679, -0.565], [-2.511, -1.132, -2.572], [1.173, -1.629, -3.189]], "species": ["Pd", "Ni", "C", "C"], "frac_coords": [[0.500, 0.500, 0.500], [0.000, 0.000, 0.000], [0.750, 0.750, 0.750], [0.250, 0.250, 0.250]]}

---

[19]
{"formula": "NiPd2C", "functional": "GGA-PBE", "state": "optimized geometry", "delta_e_f_ev_per_fu": 1.7, "lattice": [[-2.212, 3.795, 6.076], [-6.931, 0.475, -2.820], [-5.031, 0.499, 2.483]], "species": ["C", "C", "Pd", "Pd", "Pd", "Pd", "Ni", "Ni"], "frac_coords": [[0.500, 0.500, 0.000], [0.250, 0.750, 0.500], [0.375, 0.513, 0.750], [0.263, 0.625, 0.250], [0.875, 0.737, 0.750], [0.487, 0.125, 0.250], [0.000, 0.000, 0.000], [0.750, 0.250, 0.500]]}

---

[20]
{"formula": "NiPdRh2C", "functional": "GGA-PBE", "state": "optimized geometry", "delta_e_f_ev_per_fu": 1.0, "lattice": [[-1.709, -1.417, 3.405], [3.682, -0.865, 1.488], [0.194, 3.489, 1.549]], "species": ["Rh", "Rh", "C", "Ni", "Pd"], "frac_coords": [[0.000, 0.500, 0.000], [0.500, 0.000, 0.000], [0.000, 0.000, 0.000], [0.000, 0.000, 0.500], [0.500, 0.500, 0.500]]}